# LiCdPb2

A PBEsol-optimized structure of LiCdPb2 (SCAN, Alexandria via LeMat-Bulk).

Lattice parameters (Å, degrees): 3.4369 4.9189 6.0397 90.00 105.91 90.00
Closest atoms and distances in Å follow each position.
Space group Pm (No. 6)
Asymmetric unit:
Li 0.0000 0.0000 0.0000 x1  2 Cd 2.94, 7 Pb 3.04-3.27
Cd 0.8686 0.5000 0.7221 x1  2 Li 2.94, 7 Pb 3.15-3.22
Pb 0.2744 0.0000 0.5227 x1  3 Li 3.04-3.27, 4 Cd 3.21-3.22
Pb 0.5876 0.5000 0.1795 x1  3 Cd 3.15-3.17, 4 Li 3.17-3.18, 2 Pb 3.44

Calculated values
Its total magnetization is 0.0 Bohr magnetons per cell. The formation energy is -0.5 eV/f.u.